(1)
Density functional theory data (PBE-GGA) for a relaxed LiMgNbCu2 crystal.

Output
Relative energy among the computed polymorphs = 0.362 eV per atom
ΔE_f = 1.141 eV per atom
Total DFT energy (no corrections) = -16.06 eV/cell
Symmetry = P4/mmm (123)
Total magnetic moment = 1.4 μB per cell

Cell lengths 4.756, 4.756, 4.905 Å; angles 90.00, 90.00, 90.00 degrees
Fractional positions:
Li (0.000, 0.000, 0.000)
Mg (0.500, 0.500, 0.000)
Nb (0.000, 0.000, 0.500)
Cu (0.000, 0.500, 0.500)
Cu (0.500, 0.000, 0.500)

***

(2)
Density functional theory data (PBE-GGA) for a relaxed LiNdMgCu crystal.

Output
ΔE_f = -0.089 eV per atom
Total DFT energy (no corrections) = -12.73 eV/cell
Symmetry = F-43m (216)
Total magnetic moment = 0.0 μB per cell

Cell lengths 4.900, 4.900, 4.900 Å; angles 60.00, 60.00, 60.00 degrees
Fractional positions:
Li (0.000, 0.000, 0.000)
Nd (0.750, 0.750, 0.750)
Mg (0.250, 0.250, 0.250)
Cu (0.500, 0.500, 0.500)

***

(3)
Density functional theory data (PBE-GGA) for a relaxed LiMgCu2O4 crystal.

Output
Raw formation energy = -1318 meV/atom
Total DFT energy (no corrections) = -42.08 eV/cell
Symmetry = I4/mmm (139)
Total magnetic moment = 0.0 μB per cell

Cell lengths 5.038, 5.038, 5.038 Å; angles 130.78, 130.78, 72.16 degrees
Fractional positions:
Li (0.000, 0.000, 0.000)
Mg (0.500, 0.500, 0.000)
Cu (0.250, 0.750, 0.500)
Cu (0.750, 0.250, 0.500)
O (0.000, 0.500, 0.500)
O (0.251, 0.251, 0.000)
O (0.500, 0.000, 0.500)
O (0.749, 0.749, 0.000)

***

(4)
Density functional theory data (PBE-GGA) for a relaxed Li8Mg3Cu9Si16O48 crystal.

Output
Raw formation energy = -2196 meV/atom
Total DFT energy (no corrections) = -566.22 eV/cell
Symmetry = P-1 (2)
Total magnetic moment = 9.0 μB per cell

Cell lengths 8.290, 8.440, 14.575 Å; angles 93.79, 106.43, 107.07 degrees
Fractional positions:
Li (0.100, 0.252, 0.148)
Li (0.152, 0.458, 0.607)
Li (0.356, 0.977, 0.896)
Li (0.393, 0.201, 0.354)
Li (0.607, 0.799, 0.646)
Li (0.644, 0.023, 0.104)
Li (0.848, 0.542, 0.393)
Li (0.900, 0.748, 0.852)
Mg (0.000, 0.500, 0.000)
Mg (0.276, 0.259, 0.772)
Mg (0.724, 0.741, 0.228)
Cu (0.053, 0.476, 0.790)
Cu (0.207, 0.278, 0.965)
Cu (0.294, 0.222, 0.536)
Cu (0.468, 0.034, 0.719)
Cu (0.500, 0.000, 0.500)
Cu (0.532, 0.966, 0.281)
Cu (0.706, 0.778, 0.464)
Cu (0.793, 0.722, 0.035)
Cu (0.947, 0.524, 0.210)
Si (0.077, 0.846, 0.717)
Si (0.098, 0.817, 0.505)
Si (0.142, 0.931, 0.239)
Si (0.182, 0.909, 0.033)
Si (0.314, 0.593, 0.462)
Si (0.334, 0.562, 0.249)
Si (0.407, 0.685, 0.997)
Si (0.441, 0.661, 0.788)
Si (0.559, 0.339, 0.212)
Si (0.593, 0.315, 0.003)
Si (0.666, 0.438, 0.751)
Si (0.686, 0.407, 0.538)
Si (0.818, 0.091, 0.967)
Si (0.858, 0.069, 0.761)
Si (0.902, 0.183, 0.495)
Si (0.923, 0.154, 0.283)
O (0.004, 0.742, 0.991)
O (0.034, 0.234, 0.787)
O (0.052, 0.771, 0.606)
O (0.081, 0.713, 0.792)
O (0.084, 0.187, 0.577)
O (0.102, 0.099, 0.283)
O (0.137, 0.649, 0.461)
O (0.154, 0.559, 0.166)
O (0.186, 0.041, 0.958)
O (0.196, 0.990, 0.142)
O (0.230, 0.521, 0.972)
O (0.255, 0.013, 0.761)
O (0.265, 0.491, 0.747)
O (0.276, 0.982, 0.528)
O (0.288, 0.518, 0.350)
O (0.322, 0.459, 0.536)
O (0.322, 0.932, 0.320)
O (0.364, 0.854, 0.039)
O (0.378, 0.394, 0.208)
O (0.417, 0.322, 0.921)
O (0.437, 0.796, 0.715)
O (0.458, 0.740, 0.899)
O (0.489, 0.275, 0.728)
O (0.493, 0.763, 0.505)
O (0.507, 0.237, 0.495)
O (0.511, 0.725, 0.272)
O (0.542, 0.260, 0.101)
O (0.563, 0.204, 0.285)
O (0.583, 0.678, 0.079)
O (0.622, 0.606, 0.792)
O (0.636, 0.146, 0.961)
O (0.678, 0.068, 0.680)
O (0.678, 0.541, 0.464)
O (0.712, 0.482, 0.650)
O (0.724, 0.018, 0.472)
O (0.735, 0.509, 0.253)
O (0.745, 0.987, 0.239)
O (0.770, 0.479, 0.028)
O (0.804, 0.010, 0.858)
O (0.814, 0.959, 0.042)
O (0.846, 0.441, 0.834)
O (0.863, 0.351, 0.539)
O (0.898, 0.901, 0.717)
O (0.916, 0.813, 0.423)
O (0.919, 0.287, 0.208)
O (0.948, 0.229, 0.394)
O (0.966, 0.766, 0.213)
O (0.996, 0.258, 0.009)

***

(5)
Density functional theory data (PBE-GGA) for a relaxed Li2MgCu2P2 crystal.

Output
ΔE_f = -0.483 eV per atom
Total DFT energy (no corrections) = -27.82 eV/cell
Symmetry = R-3m (166)
Total magnetic moment = 0.0 μB per cell

Cell lengths 7.768, 7.768, 7.768 Å; angles 29.68, 29.68, 29.68 degrees
Fractional positions:
Li (0.136, 0.136, 0.136)
Li (0.864, 0.864, 0.864)
Mg (0.000, 0.000, 0.000)
Cu (0.412, 0.412, 0.412)
Cu (0.588, 0.588, 0.588)
P (0.253, 0.253, 0.253)
P (0.747, 0.747, 0.747)

***

(6)
Density functional theory data (PBE-GGA) for a relaxed LiMg2Cu2P2 crystal.

Output
ΔE_f = -0.264 eV per atom
Total DFT energy (no corrections) = -25.97 eV/cell
Symmetry = R-3m (166)
Total magnetic moment = 0.0 μB per cell

Cell lengths 8.003, 8.003, 8.003 Å; angles 29.67, 29.67, 29.67 degrees
Fractional positions:
Li (0.000, 0.000, 0.000)
Mg (0.132, 0.132, 0.132)
Mg (0.868, 0.868, 0.868)
Cu (0.413, 0.413, 0.413)
Cu (0.587, 0.587, 0.587)
P (0.256, 0.256, 0.256)
P (0.744, 0.744, 0.744)

***

(7)
Density functional theory data (PBE-GGA) for a relaxed Li2MgCu2Pd5 crystal.

Output
ΔE_f = -0.272 eV per atom
Total DFT energy (no corrections) = -84.60 eV/cell
Symmetry = P4/mbm (127)
Total magnetic moment = 0.0 μB per cell

Cell lengths 8.840, 8.840, 4.039 Å; angles 90.00, 90.00, 90.00 degrees
Fractional positions:
Li (0.170, 0.330, 0.000)
Li (0.330, 0.830, 0.000)
Li (0.670, 0.170, 0.000)
Li (0.830, 0.670, 0.000)
Mg (0.000, 0.000, 0.000)
Mg (0.500, 0.500, 0.000)
Cu (0.124, 0.624, 0.000)
Cu (0.376, 0.124, 0.000)
Cu (0.624, 0.876, 0.000)
Cu (0.876, 0.376, 0.000)
Pd (0.000, 0.500, 0.500)
Pd (0.081, 0.800, 0.500)
Pd (0.200, 0.081, 0.500)
Pd (0.300, 0.581, 0.500)
Pd (0.419, 0.300, 0.500)
Pd (0.500, 0.000, 0.500)
Pd (0.581, 0.700, 0.500)
Pd (0.700, 0.419, 0.500)
Pd (0.800, 0.919, 0.500)
Pd (0.919, 0.200, 0.500)

***

(8)
Density functional theory data (PBE-GGA) for a relaxed LiMgCu2Pd crystal.

Output
ΔE_f = 0.333 eV per atom
Total DFT energy (no corrections) = -15.23 eV/cell
Symmetry = P4/mmm (123)
Total magnetic moment = 0.0 μB per cell

Cell lengths 4.752, 4.752, 4.382 Å; angles 90.00, 90.00, 90.00 degrees
Fractional positions:
Li (0.000, 0.000, 0.000)
Mg (0.500, 0.500, 0.000)
Cu (0.000, 0.500, 0.500)
Cu (0.500, 0.000, 0.500)
Pd (0.000, 0.000, 0.500)